1.
VASP calculation (PBEsol) on an optimized crystal structure of Ag3Pt5.

a b c (Å): 7.800 8.029 3.940
angles (deg): 90.00 90.00 90.00
Space group Cmmm (No. 65)
Inequivalent atoms, fractional coordinates:
1 Ag 0.000 0.000 0.000 x2
2 Ag 0.243 0.000 0.500 x4
3 Pt 0.000 0.262 0.500 x4
4 Pt 0.000 0.500 0.000 x2
5 Pt 0.250 0.250 0.000 x4

Summary:
Energy above the most stable polymorph in this dataset = 53 meV per atom
Crystal system = orthorhombic

2.
VASP calculation (PBEsol) on an optimized crystal structure of BaCaTe.

a b c (Å): 4.4748 4.4748 7.6040
angles (deg): 90.00 90.00 120.00
Space group P3m1 (No. 156)
Inequivalent atoms, fractional coordinates:
1 Ba 0.0000 0.0000 0.0000 x1
2 Ca 0.3333 0.6667 0.5239 x1
3 Te 0.6667 0.3333 0.2958 x1

Summary:
Energy above the most stable polymorph in this dataset = 2 meV per atom
Crystal system = trigonal

3.
VASP calculation (PBEsol) on an optimized crystal structure of Sr3MgRh.

a b c (Å): 5.738 5.738 5.738
angles (deg): 90.00 90.00 90.00
Space group Pm-3m (No. 221)
Inequivalent atoms, fractional coordinates:
1 Sr 0.000 0.000 0.500 x3
2 Mg 0.500 0.500 0.500 x1
3 Rh 0.000 0.000 0.000 x1

Summary:
DFT total energy = -3.1275 eV per atom
Crystal system = cubic

4.
VASP calculation (PBEsol) on an optimized crystal structure of Sb3Mo.

a b c (Å): 5.013 5.013 3.467
angles (deg): 90.00 90.00 90.00
Space group P4/mmm (No. 123)
Inequivalent atoms, fractional coordinates:
1 Sb 0.000 0.000 0.000 x1
2 Sb 0.000 0.500 0.500 x2
3 Mo 0.500 0.500 0.000 x1

Summary:
Energy above the most stable polymorph in this dataset = 108 meV per atom
Crystal system = tetragonal

5.
VASP calculation (PBEsol) on an optimized crystal structure of WSeF3.

a b c (Å): 4.111 4.111 4.111
angles (deg): 90.00 90.00 90.00
Space group Pm-3m (No. 221)
Inequivalent atoms, fractional coordinates:
1 W 0.000 0.000 0.000 x1
2 Se 0.500 0.500 0.500 x1
3 F 0.000 0.000 0.500 x3

Summary:
DFT total energy = -5.5339 eV per atom
Crystal system = cubic

6.
VASP calculation (PBEsol) on an optimized crystal structure of Ca2ZnNi.

a b c (Å): 4.157 4.165 10.619
angles (deg): 90.00 90.00 90.00
Space group Amm2 (No. 38)
Inequivalent atoms, fractional coordinates:
1 Ca 0.000 0.000 0.000 x2
2 Ca 0.500 0.000 0.285 x2
3 Zn 0.500 0.000 0.586 x2
4 Ni 0.000 0.000 0.697 x2

Summary:
DFT total energy = -3.1730 eV per atom
Crystal system = orthorhombic

7.
VASP calculation (PBEsol) on an optimized crystal structure of YHf2Pt2.

a b c (Å): 4.505 4.505 10.669
angles (deg): 90.00 90.00 90.00
Space group I4/mmm (No. 139)
Inequivalent atoms, fractional coordinates:
1 Y 0.000 0.000 0.000 x2
2 Hf 0.000 0.500 0.250 x4
3 Pt 0.000 0.000 0.379 x4

Summary:
Energy above the most stable polymorph in this dataset = 0 meV per atom
Crystal system = tetragonal

8.
VASP calculation (PBEsol) on an optimized crystal structure of Pr2CdSb4.

a b c (Å): 4.336 4.336 10.606
angles (deg): 90.00 90.00 90.00
Space group P-4m2 (No. 115)
Inequivalent atoms, fractional coordinates:
1 Pr 0.000 0.500 0.238 x2
2 Cd 0.500 0.500 0.500 x1
3 Sb 0.000 0.000 0.000 x1
4 Sb 0.000 0.500 0.671 x2
5 Sb 0.500 0.500 0.000 x1

Summary:
DFT total energy = -4.9967 eV per atom
Crystal system = tetragonal

Number 1: DOS at the Fermi energy 14.37 states/eV/cell. Number 2: DOS at the Fermi energy 1.87 states/eV/cell. Number 3: DOS at the Fermi energy 3.15 states/eV/cell. Number 4: DOS at the Fermi energy 4.39 states/eV/cell. Number 5: DOS at the Fermi energy 2.79 states/eV/cell. Number 6: DOS at the Fermi energy 4.33 states/eV/cell. Number 7: DOS at the Fermi energy 6.94 states/eV/cell. Number 8: DOS at the Fermi energy 2.79 states/eV/cell.